(1)
# MnN2Cl4, optimized geometry, DFT PBE
data_MnN2Cl4
_chemical_formula_sum 'Mn2 N4 Cl8'
_symmetry_space_group_name_H-M 'I 4/m m m'
_symmetry_Int_Tables_number 139
_symmetry_space_group_name_Hall '-I 4 2'
_cell_length_a 4.820
_cell_length_b 4.820
_cell_length_c 21.919
_cell_angle_alpha 90.00
_cell_angle_beta 90.00
_cell_angle_gamma 90.00
loop_
_atom_site_label
_atom_site_fract_x
_atom_site_fract_y
_atom_site_fract_z
Mn1 0.000 0.000 0.000
N1 0.000 0.000 0.256
Cl1 0.000 0.000 0.183
Cl2 0.000 0.500 0.000
# crystal system: tetragonal
# theoretical density: 1466 kg/m3
# energy relative to the elements, uncorrected: 549 meV/atom
# energy: -58.73 eV per cell

---

(2)
# KTl2Rh, optimized geometry, DFT PBE
data_KTl2Rh
_chemical_formula_sum 'K2 Tl4 Rh2'
_symmetry_space_group_name_H-M 'I -4 m 2'
_symmetry_Int_Tables_number 119
_symmetry_space_group_name_Hall 'I -4 -2'
_cell_length_a 4.695
_cell_length_b 4.695
_cell_length_c 9.209
_cell_angle_alpha 90.00
_cell_angle_beta 90.00
_cell_angle_gamma 90.00
loop_
_atom_site_label
_atom_site_fract_x
_atom_site_fract_y
_atom_site_fract_z
K1 0.000 0.000 0.000
Tl1 0.000 0.000 0.500
Tl2 0.000 0.500 0.250
Rh1 0.000 0.500 0.750
# crystal system: tetragonal
# theoretical density: 9012 kg/m3
# energy: -23.40 eV per cell
# DFT formation energy: 371 meV/atom

---

(3)
# Y2MgTcC, optimized geometry, DFT PBE
data_Y2MgTcC
_chemical_formula_sum 'Y2 Mg1 Tc1 C1'
_symmetry_space_group_name_H-M 'P 4/m m m'
_symmetry_Int_Tables_number 123
_symmetry_space_group_name_Hall '-P 4 2'
_cell_length_a 5.021
_cell_length_b 5.021
_cell_length_c 4.019
_cell_angle_alpha 90.00
_cell_angle_beta 90.00
_cell_angle_gamma 90.00
loop_
_atom_site_label
_atom_site_fract_x
_atom_site_fract_y
_atom_site_fract_z
Y1 0.000 0.500 0.000
Mg1 0.000 0.000 0.500
Tc1 0.500 0.500 0.500
C1 0.500 0.500 0.000
# crystal system: tetragonal
# theoretical density: 5114 kg/m3
# energy: -35.30 eV per cell
# DFT formation energy: -237 meV/atom

---

(4)
# Gd2ThZn, optimized geometry, DFT PBE
data_Gd2ThZn
_chemical_formula_sum 'Gd2 Th1 Zn1'
_symmetry_space_group_name_H-M 'P 4/m m m'
_symmetry_Int_Tables_number 123
_symmetry_space_group_name_Hall '-P 4 2'
_cell_length_a 4.759
_cell_length_b 4.759
_cell_length_c 4.875
_cell_angle_alpha 90.00
_cell_angle_beta 90.00
_cell_angle_gamma 90.00
loop_
_atom_site_label
_atom_site_fract_x
_atom_site_fract_y
_atom_site_fract_z
Gd1 0.000 0.500 0.000
Th1 0.000 0.000 0.500
Zn1 0.500 0.500 0.500
# crystal system: tetragonal
# theoretical density: 9201 kg/m3
# energy: -36.88 eV per cell
# DFT formation energy: -7 meV/atom

---

(5)
# ZnSnN2O, optimized geometry, DFT PBE
data_ZnSnN2O
_chemical_formula_sum 'Zn1 Sn1 N2 O1'
_symmetry_space_group_name_H-M 'P 4/m m m'
_symmetry_Int_Tables_number 123
_symmetry_space_group_name_Hall '-P 4 2'
_cell_length_a 4.197
_cell_length_b 4.197
_cell_length_c 4.044
_cell_angle_alpha 90.00
_cell_angle_beta 90.00
_cell_angle_gamma 90.00
loop_
_atom_site_label
_atom_site_fract_x
_atom_site_fract_y
_atom_site_fract_z
Zn1 0.000 0.000 0.000
Sn1 0.500 0.500 0.500
N1 0.000 0.500 0.500
O1 0.500 0.500 0.000
# crystal system: tetragonal
# theoretical density: 5318 kg/m3
# energy relative to the elements, uncorrected: 920 meV/atom
# energy: -22.29 eV per cell

---

(6)
# K2W2C, optimized geometry, DFT PBE
data_K2W2C
_chemical_formula_sum 'K4 W4 C2'
_symmetry_space_group_name_H-M 'I 4/m m m'
_symmetry_Int_Tables_number 139
_symmetry_space_group_name_Hall '-I 4 2'
_cell_length_a 3.358
_cell_length_b 3.358
_cell_length_c 17.226
_cell_angle_alpha 90.00
_cell_angle_beta 90.00
_cell_angle_gamma 90.00
loop_
_atom_site_label
_atom_site_fract_x
_atom_site_fract_y
_atom_site_fract_z
K1 0.000 0.500 0.250
W1 0.000 0.000 0.066
C1 0.000 0.000 0.500
# crystal system: tetragonal
# theoretical density: 7831 kg/m3
# energy: -47.56 eV per cell
# DFT formation energy: 2709 meV/atom

---

(7)
# NpZn2CdAu5, optimized geometry, DFT PBE
data_NpZn2CdAu5
_chemical_formula_sum 'Np1 Zn2 Cd1 Au5'
_symmetry_space_group_name_H-M 'P 4/m m m'
_symmetry_Int_Tables_number 123
_symmetry_space_group_name_Hall '-P 4 2'
_cell_length_a 4.844
_cell_length_b 4.844
_cell_length_c 7.899
_cell_angle_alpha 90.00
_cell_angle_beta 90.00
_cell_angle_gamma 90.00
loop_
_atom_site_label
_atom_site_fract_x
_atom_site_fract_y
_atom_site_fract_z
Np1 0.000 0.000 0.000
Zn1 0.500 0.500 0.347
Cd1 0.000 0.000 0.500
Au1 0.000 0.500 0.239
Au2 0.500 0.500 0.000
# crystal system: tetragonal
# theoretical density: 13129 kg/m3
# energy: -33.27 eV per cell
# DFT formation energy: -53 meV/atom

---

(8)
# Nd4Tm3Th, optimized geometry, DFT PBE
data_Nd4Tm3Th
_chemical_formula_sum 'Nd8 Tm6 Th2'
_symmetry_space_group_name_H-M 'P m n 21'
_symmetry_Int_Tables_number 31
_cell_length_a 11.549
_cell_length_b 7.341
_cell_length_c 6.272
_cell_angle_alpha 90.00
_cell_angle_beta 90.00
_cell_angle_gamma 90.00
loop_
_symmetry_equiv_pos_as_xyz
'x,y,z'
'-x+1/2,-y,z+1/2'
'-x,y,z'
'x+1/2,-y,z+1/2'
loop_
_atom_site_label
_atom_site_fract_x
_atom_site_fract_y
_atom_site_fract_z
Nd1 0.000 0.136 0.000
Nd2 0.000 0.863 0.508
Nd3 0.250 0.130 0.354
Tm1 0.000 0.382 0.510
Tm2 0.250 0.385 0.837
Th1 0.000 0.618 0.008
# crystal system: orthorhombic
# theoretical density: 8217 kg/m3
# energy: -79.11 eV per cell
# DFT formation energy: 44 meV/atom

---

(9)
# Li2AlAg7Sb2, optimized geometry, DFT PBE
data_Li2AlAg7Sb2
_chemical_formula_sum 'Li4 Al2 Ag14 Sb4'
_symmetry_space_group_name_H-M 'C m m m'
_symmetry_Int_Tables_number 65
_symmetry_space_group_name_Hall '-C 2 2'
_cell_length_a 5.859
_cell_length_b 5.917
_cell_length_c 13.099
_cell_angle_alpha 90.00
_cell_angle_beta 90.00
_cell_angle_gamma 90.00
loop_
_atom_site_label
_atom_site_fract_x
_atom_site_fract_y
_atom_site_fract_z
Li1 0.000 0.000 0.190
Al1 0.000 0.500 0.500
Ag1 0.000 0.000 0.500
Ag2 0.245 0.000 0.000
Ag3 0.250 0.250 0.347
Sb1 0.000 0.500 0.188
# crystal system: orthorhombic
# theoretical density: 7602 kg/m3
# energy relative to the elements, uncorrected: -92 meV/atom
# energy: -73.75 eV per cell

---

(10)
# NaNb4Tl3P2O17, optimized geometry, DFT PBE
data_NaNb4Tl3P2O17
_chemical_formula_sum 'Na4 Nb16 Tl12 P8 O68'
_symmetry_space_group_name_H-M 'A m a 2'
_symmetry_Int_Tables_number 40
_cell_length_a 7.488
_cell_length_b 21.651
_cell_length_c 10.126
_cell_angle_alpha 90.00
_cell_angle_beta 90.00
_cell_angle_gamma 90.00
loop_
_symmetry_equiv_pos_as_xyz
'x,y,z'
'-x,-y,z'
'-x+1/2,y,z'
'x+1/2,-y,z'
'x,y+1/2,z+1/2'
'-x,-y+1/2,z+1/2'
'-x+1/2,y+1/2,z+1/2'
'x+1/2,-y+1/2,z+1/2'
loop_
_atom_site_label
_atom_site_fract_x
_atom_site_fract_y
_atom_site_fract_z
Na1 0.000 0.000 0.000
Nb1 0.000 0.000 0.369
Nb2 0.000 0.154 0.559
Nb3 0.250 0.237 0.278
Tl1 0.250 0.029 0.704
Tl2 0.250 0.195 0.883
Tl3 0.250 0.363 0.691
P1 0.250 0.087 0.143
P2 0.250 0.386 0.331
O1 0.041 0.065 0.493
O2 0.063 0.272 0.169
O3 0.068 0.198 0.406
O4 0.076 0.061 0.207
O5 0.079 0.394 0.244
O6 0.250 0.075 0.995
O7 0.250 0.150 0.633
O8 0.250 0.159 0.168
O9 0.250 0.317 0.386
O10 0.250 0.353 0.005
O11 0.250 0.431 0.448
O12 0.250 0.472 0.841
# crystal system: orthorhombic
# theoretical density: 5429 kg/m3
# energy relative to the elements, uncorrected: -2229 meV/atom
# energy: -816.01 eV per cell

---

(11)
# Ca8Bi5Te, optimized geometry, DFT PBE
data_Ca8Bi5Te
_chemical_formula_sum 'Ca16 Bi10 Te2'
_symmetry_space_group_name_H-M 'I -4'
_symmetry_Int_Tables_number 82
_cell_length_a 9.660
_cell_length_b 9.660
_cell_length_c 9.700
_cell_angle_alpha 90.00
_cell_angle_beta 90.00
_cell_angle_gamma 90.00
loop_
_symmetry_equiv_pos_as_xyz
'x,y,z'
'y,-x,-z'
'-x,-y,z'
'-y,x,-z'
'x+1/2,y+1/2,z+1/2'
'y+1/2,-x+1/2,-z+1/2'
'-x+1/2,-y+1/2,z+1/2'
'-y+1/2,x+1/2,-z+1/2'
loop_
_atom_site_label
_atom_site_fract_x
_atom_site_fract_y
_atom_site_fract_z
Ca1 0.071 0.177 0.200
Ca2 0.076 0.323 0.555
Bi1 0.000 0.000 0.500
Bi2 0.127 0.252 0.878
Te1 0.000 0.500 0.250
# crystal system: tetragonal
# theoretical density: 5478 kg/m3
# energy relative to the elements, uncorrected: -969 meV/atom
# energy: -104.26 eV per cell

---

(12)
# La3MgO, optimized geometry, DFT PBE
data_La3MgO
_chemical_formula_sum 'La18 Mg6 O6'
_symmetry_space_group_name_H-M 'R -3'
_symmetry_Int_Tables_number 148
_symmetry_space_group_name_Hall '-R 3'
_cell_length_a 6.4531
_cell_length_b 6.4531
_cell_length_c 24.9177
_cell_angle_alpha 90.00
_cell_angle_beta 90.00
_cell_angle_gamma 120.00
loop_
_atom_site_label
_atom_site_fract_x
_atom_site_fract_y
_atom_site_fract_z
La1 0.9997 0.3505 0.4420
Mg1 0.0000 0.0000 0.3349
O1 0.0000 0.0000 0.1665
# crystal system: trigonal
# theoretical density: 5067 kg/m3
# energy relative to the elements, uncorrected: -942 meV/atom
# energy: -156.26 eV per cell